CdCu2S3 after structural relaxation. Source: OQMD, functional PBE.

Output
**Electronic total energy**: -3.74 eV per atom
**ΔE to the lowest computed polymorph**: 0.01 eV per formula unit

Cell: 6.640 6.640 6.610 Å, 99.30 99.30 120.08°
Fractional coordinates of all 12 atoms:
Cd 0.091 0.909 0.500
Cd 0.909 0.091 0.000
Cu 0.254 0.746 0.987
Cu 0.412 0.573 0.488
Cu 0.573 0.412 0.988
Cu 0.746 0.254 0.487
S 0.130 0.588 0.628
S 0.324 0.489 0.128
S 0.489 0.324 0.628
S 0.588 0.130 0.128
S 0.757 0.953 0.595
S 0.953 0.757 0.095

=====

CdCu2SiSe3S after structural relaxation. Source: OQMD, functional PBE.

Output
**Electronic total energy**: -3.96 eV per atom

Cell: 5.689 5.689 6.728 Å, 114.50 114.50 90.18°
Fractional coordinates of all 8 atoms:
Cd 0.000 0.000 0.000
Cu 0.277 0.751 0.519
Cu 0.751 0.277 0.519
Si 0.513 0.513 0.999
Se 0.155 0.155 0.738
Se 0.418 0.865 0.268
Se 0.865 0.418 0.268
S 0.601 0.601 0.749

=====

CdCu2SiSeS3 after structural relaxation. Source: OQMD, functional PBE.

Output
**Electronic total energy**: -4.18 eV per atom

Cell: 5.519 5.519 6.539 Å, 114.62 114.62 89.81°
Fractional coordinates of all 8 atoms:
Cd 0.000 0.000 0.000
Cu 0.269 0.742 0.520
Cu 0.742 0.269 0.520
Si 0.488 0.488 0.001
Se 0.852 0.852 0.274
S 0.148 0.584 0.747
S 0.403 0.403 0.261
S 0.584 0.148 0.747

=====

- The highest electronic total energy belongs to which entry?
  CdCu2S3

=====

- Look up the electronic total energy of the second one.
  -3.96 eV per atom

=====

- electronic total energy of number 3 (CdCu2SiSeS3)?
  -4.18 eV per atom

=====

- Which of these has the highest electronic total energy?
  CdCu2S3